An optimized crystal structure of CeSm2N2, computed with GGA-PBE. Values from VASP.

The structure in Quantum ESPRESSO input format:
```
&SYSTEM
  ibrav = 0, nat = 5, ntyp = 3
/
ATOMIC_SPECIES
Sm 150.36 Sm.upf
Ce 140.12 Ce.upf
N 14.01 N.upf
ATOMIC_POSITIONS crystal
Sm 0.320 0.320 0.640
Sm 0.680 0.680 0.360
Ce 0.000 0.000 0.000
N 0.338 0.838 0.676
N 0.662 0.162 0.324
CELL_PARAMETERS angstrom
3.422 0.000 -0.921
-0.566 4.617 -2.103
-0.145 0.021 6.281
```

The formation energy from raw total energies is -5.6 eV/f.u.

=====

An optimized crystal structure of Li3CePu2S6, computed with GGA-PBE. Values from VASP.

The structure in Quantum ESPRESSO input format:
```
&SYSTEM
  ibrav = 0, nat = 12, ntyp = 4
/
ATOMIC_SPECIES
S 32.06 S.upf
Pu 244.00 Pu.upf
Li 6.94 Li.upf
Ce 140.12 Ce.upf
ATOMIC_POSITIONS crystal
S 0.916 0.579 0.748
S 0.084 0.421 0.252
Pu 0.334 0.666 0.000
S 0.421 0.084 0.252
S 0.747 0.747 0.253
Li 0.830 0.170 0.500
Li 0.170 0.830 0.500
Ce 0.000 0.000 0.000
S 0.579 0.916 0.748
Li 0.500 0.500 0.500
Pu 0.666 0.334 0.000
S 0.253 0.253 0.747
CELL_PARAMETERS angstrom
-5.113 1.057 4.541
-1.376 -2.824 -6.166
3.090 -4.988 2.887
```

The formation energy from raw total energies is -19.4 eV/f.u.

=====

An optimized crystal structure of ZnFeNi4, computed with GGA-PBE. Values from VASP.

The structure in Quantum ESPRESSO input format:
```
&SYSTEM
  ibrav = 0, nat = 12, ntyp = 3
/
ATOMIC_SPECIES
Ni 58.69 Ni.upf
Zn 65.41 Zn.upf
Fe 55.84 Fe.upf
ATOMIC_POSITIONS crystal
Ni 0.565 0.934 0.244
Zn 0.880 0.796 0.591
Ni 0.435 0.066 0.756
Fe 0.235 0.444 0.888
Zn 0.120 0.204 0.409
Ni 0.698 0.326 0.653
Ni 0.302 0.674 0.347
Ni 0.435 0.690 0.756
Fe 0.765 0.556 0.112
Ni 0.000 0.192 0.000
Ni 0.565 0.310 0.244
Ni 0.000 0.808 0.000
CELL_PARAMETERS angstrom
4.340 0.000 -0.038
0.000 6.435 0.000
-1.323 -3.217 5.248
```

The calculation puts the formation energy at 0.111 eV per atom.

=====

An optimized crystal structure of KLa2GaO5, computed with GGA-PBE. Values from VASP.

The structure in Quantum ESPRESSO input format:
```
&SYSTEM
  ibrav = 0, nat = 18, ntyp = 4
/
ATOMIC_SPECIES
O 16.00 O.upf
La 138.91 La.upf
Ga 69.72 Ga.upf
K 39.10 K.upf
ATOMIC_POSITIONS crystal
O 0.000 0.500 0.271
O 0.728 0.228 0.729
La 0.316 0.816 0.000
La 0.816 0.684 0.000
Ga 0.250 0.750 0.500
O 0.000 0.000 0.000
O 0.500 0.500 0.000
O 0.500 0.272 0.271
La 0.684 0.184 0.000
La 0.184 0.316 0.000
O 0.772 0.000 0.271
O 0.000 0.500 0.729
O 0.228 0.000 0.729
K 0.750 0.750 0.500
K 0.250 0.250 0.500
O 0.500 0.728 0.729
O 0.272 0.772 0.271
Ga 0.750 0.250 0.500
CELL_PARAMETERS angstrom
6.991 0.000 0.000
0.000 6.991 0.000
-3.496 -3.496 5.702
```

The formation energy from raw total energies is -24.1 eV/f.u.

=====

Number 1: theoretical density 7.9 g/cm³. Number 2: theoretical density 5.5 g/cm³. Number 3: theoretical density 8.1 g/cm³. Number 4: theoretical density 5.6 g/cm³.